No. 1
The following is a PBE calculation of a geometry-optimized NdDyCuHg structure, from Alexandria via LeMat-Bulk.

Summary:
Total moment: 0.000 μB per cell
Uncorrected energy: -14.96 eV per cell
DOS(E_F): 2.31 states/eV/cell

Cell lengths 5.197, 5.197, 5.197 Å; angles 60.00, 60.00, 60.00 degrees
Fractional positions:
Nd 0.000 0.000 0.000
Hg 0.750 0.750 0.750
Cu 0.250 0.250 0.250
Dy 0.500 0.500 0.500

***

No. 2
The following is a PBE calculation of a geometry-optimized Ca2LuMg structure, from Alexandria via LeMat-Bulk.

Summary:
Total moment: 0.543 μB per cell
Uncorrected energy: -9.12 eV per cell
DOS(E_F): 4.71 states/eV/cell

Cell lengths 3.549, 3.549, 12.518 Å; angles 81.85, 81.85, 60.00 degrees
Each line ends with the local moment (μB).
Fractional positions:
Ca 0.091 0.091 0.728  0.02
Ca 0.909 0.909 0.272  0.02
Lu 0.000 0.000 0.000  0.23
Mg 0.500 0.500 0.500  0.00

***

no.,energy relative to the elements (eV/atom)
1,-0.299
2,0.250